Record 1
AcPuSe after structural relaxation, computed with GGA-PBE.

## Properties
Polymorph energy (0 for the lowest one) = 0 meV per atom
Energy = -24.1 eV for the cell shown
Spin magnetization = 6.5 μB per formula unit
Formation energy (no corrections) = -70 kJ/mol of atoms

Lattice parameters (Å, degrees): 3.7571 3.7571 7.1360 105.26 105.26 90.00
Site moments in Bohr magnetons follow the coordinates.
Element x y z (fractional)
1 Ac 0.2615 0.2615 0.5230  0.11
2 Se 0.6019 0.6019 0.2039  -0.04
3 Pu 0.9866 0.9866 0.9731  5.69

---

Record 2
TaMnReRu after structural relaxation, computed with GGA-PBE.

## Properties
Energy = -43.2 eV for the cell shown
Spin magnetization = 3.1 μB per formula unit

Lattice parameters (Å, degrees): 4.3992 4.3992 4.3992 60.00 60.00 60.00
Site moments in Bohr magnetons follow the coordinates.
Element x y z (fractional)
1 Re 0.2500 0.2500 0.2500  -0.26
2 Mn 0.5000 0.5000 0.5000  2.99
3 Ta 0.0000 0.0000 0.0000  0.08
4 Ru 0.7500 0.7500 0.7500  0.18

---

Record 3
RbNaF4 after structural relaxation, computed with GGA-PBE.

## Properties
Energy = -41.4 eV for the cell shown
Spin magnetization = 2.0 μB per formula unit
Formation energy (no corrections) = -176 kJ/mol of atoms

Lattice parameters (Å, degrees): 5.6870 5.6128 7.5705 68.24 71.68 90.00
Site moments in Bohr magnetons follow the coordinates.
Element x y z (fractional)
1 Rb 0.7500 0.2386 0.0000  0.00
2 Rb 0.2500 0.7614 0.0000  0.00
3 Na 0.5000 0.5000 0.5000  0.00
4 Na 0.0000 0.0000 0.5000  0.00
5 F 0.2885 0.3467 0.8519  0.45
6 F 0.2115 0.1985 0.1481  0.45
7 F 0.7115 0.6533 0.1481  0.45
8 F 0.7885 0.8015 0.8519  0.45
9 F 0.3584 0.0750 0.5673  0.47
10 F 0.1416 0.6423 0.4327  0.47
11 F 0.6416 0.9250 0.4327  0.47
12 F 0.8584 0.3577 0.5673  0.47